# K2TiBS4

K2TiBS4 after structural relaxation (PBE, Alexandria via LeMat-Bulk).

Summary:
* DFT total energy: -0.1890 hartree per atom
* V: 26.7 Å³/atom

Cell and atoms, written as POSCAR:
```
K2TiBS4
1.0
0.000 6.521 11.644
2.815 0.000 11.644
2.815 6.521 0.000
K Ti B S
4 2 2 8
direct
0.054 0.054 0.696
0.304 0.304 0.946
0.696 0.696 0.054
0.946 0.946 0.304
0.125 0.125 0.125
0.875 0.875 0.875
0.375 0.375 0.375
0.625 0.625 0.625
0.038 0.617 0.537
0.308 0.537 0.617
0.383 0.962 0.692
0.463 0.692 0.962
0.537 0.308 0.038
0.617 0.038 0.308
0.692 0.463 0.383
0.962 0.383 0.463
```

***

# K2TiB2S6

K2TiB2S6 after structural relaxation (PBE, Alexandria via LeMat-Bulk).

Summary:
* DFT total energy: -0.1912 hartree per atom
* V: 22.6 Å³/atom

Cell and atoms, written as POSCAR:
```
K2TiB2S6
1.0
5.434 -3.226 0.000
5.434 3.226 0.000
-3.326 0.000 7.103
K Ti B S
2 1 2 6
direct
0.198 0.198 0.169
0.802 0.802 0.831
0.000 0.000 0.500
0.426 0.426 0.690
0.574 0.574 0.310
0.235 0.713 0.253
0.243 0.243 0.610
0.287 0.765 0.747
0.713 0.235 0.253
0.757 0.757 0.390
0.765 0.287 0.747
```

***

Number 1: ρ 2.06 g/cm3. Number 2: ρ 2.27 g/cm3.